YVO3 after structural relaxation, computed with PBE+U.

a = 3.5061 Å, b = 3.5061 Å, c = 12.4155 Å
α = 90.00°, β = 90.00°, γ = 120.00°
Last column: nearest neighbours and their distance in Å.
Fractional coordinates of all 10 atoms:
O 0.6667 0.3333 0.5861  1 V 2.03
Y 0.0000 0.0000 0.5000  6 O 2.29
V 0.3333 0.6667 0.2500  5 O 2.02-2.03
O 0.0000 0.0000 0.7500  3 V 2.02
O 0.6667 0.3333 0.9139  1 V 2.03
V 0.6667 0.3333 0.7500  5 O 2.02-2.03
Y 0.0000 0.0000 0.0000  6 O 2.29
O 0.0000 0.0000 0.2500  3 V 2.02
O 0.3333 0.6667 0.4139  1 V 2.03
O 0.3333 0.6667 0.0861  1 V 2.03

Values from the calculation:
V   13.2 Å³/atom
E   -84.4 eV/cell
SG   P6_3/mmc